{
  "formula": "CrInO2",
  "functional": "PBE with a Hubbard U",
  "state": "optimized geometry",
  "lattice_angstrom": [[1.513, 0.874, 6.540], [-1.513, 0.874, 6.540], [0.000, -1.748, 6.540]],
  "species": ["Cr", "In", "O", "O"],
  "fractional_positions": [[0.000, 0.000, 0.000], [0.500, 0.500, 0.500], [0.385, 0.385, 0.385], [0.615, 0.615, 0.615]],
  "crystal_system": "trigonal",
  "dft_energy_ev_per_atom": -6.56
}